{
  "formula": "TbTmNi4",
  "functional": "PBE",
  "state": "optimized geometry",
  "lattice": [[2.674, -4.633, 0.000], [2.674, 4.633, 0.000], [0.000, 0.000, 8.000]],
  "species": ["Ni", "Ni", "Ni", "Ni", "Ni", "Ni", "Ni", "Ni", "Tb", "Tb", "Tm", "Tm"],
  "frac_coords": [[0.667, 0.333, 0.000], [0.333, 0.667, 0.000], [0.500, 0.500, 0.230], [0.500, 0.000, 0.230], [0.000, 0.500, 0.230], [0.500, 0.000, 0.770], [0.000, 0.500, 0.770], [0.500, 0.500, 0.770], [0.000, 0.000, 0.000], [0.000, 0.000, 0.500], [0.667, 0.333, 0.500], [0.333, 0.667, 0.500]],
  "dft_energy_ev_per_atom": -5.302,
  "e_form_ev_per_atom": -0.0726,
  "total_magnetization_mub_per_cell": 0.01,
  "polymorph_energy_kj_per_mol_atoms": 38.0
}